Ba2TcF: relaxed, PBE.

## Properties
density = 5.7 g/cm3
electronic total energy = -0.1561 Ha/atom
raw formation energy = -0.226 eV/atom
crystal system = cubic

```
data_Ba2TcF
_chemical_formula_sum 'Ba8 Tc4 F4'
_cell_length_a 7.681
_cell_length_b 7.681
_cell_length_c 7.681
_cell_angle_alpha 90.00
_cell_angle_beta 90.00
_cell_angle_gamma 90.00
_symmetry_space_group_name_H-M 'F m -3 m'
_symmetry_Int_Tables_number 225
_symmetry_space_group_name_Hall '-F 4 2 3'
loop_
_atom_site_label
_atom_site_type_symbol
_atom_site_fract_x
_atom_site_fract_y
_atom_site_fract_z
Ba1 Ba 0.250 0.250 0.250
Tc1 Tc 0.000 0.000 0.000
F1 F 0.000 0.000 0.500
```